# GGA-PBE Ac2GePd6Pt, relaxed
# VASP energy = -339.63 eV/cell
# ΔE_f = -0.66 eV per atom
# Magnetization = 0.000 μB/atom
# D(E_F) = 30.17 states/eV/cell
data_Ac2GePd6Pt
_chemical_formula_sum 'Ac12 Ge6 Pd36 Pt6'
_symmetry_space_group_name_H-M 'R -3 m'
_symmetry_Int_Tables_number 166
_symmetry_space_group_name_Hall '-R 3 2"'
_cell_length_a 6.5552
_cell_length_b 6.5552
_cell_length_c 34.3377
_cell_angle_alpha 90.00
_cell_angle_beta 90.00
_cell_angle_gamma 120.00
loop_
_atom_site_label
_atom_site_type_symbol
_atom_site_fract_x
_atom_site_fract_y
_atom_site_fract_z
_atom_site_occupancy
Ac1 Ac 0.0000 0.0000 0.1123 1
Ac2 Ac 0.0000 0.0000 0.2833 1
Ge1 Ge 0.0000 0.0000 0.0000 1
Ge2 Ge 0.0000 0.0000 0.5000 1
Pd1 Pd 0.0503 0.5251 0.3024 1
Pd2 Pd 0.0643 0.5321 0.8633 1
Pt1 Pt 0.0000 0.0000 0.4265 1

# GGA-PBE LiCaCu2Pd, relaxed
# VASP energy = -13.21 eV/cell
# ΔE_f = 0.82 eV per atom
# Magnetization = 0.000 μB/atom
# D(E_F) = 2.42 states/eV/cell
data_LiCaCu2Pd
_chemical_formula_sum 'Li1 Ca1 Cu2 Pd1'
_symmetry_space_group_name_H-M 'P 4/m m m'
_symmetry_Int_Tables_number 123
_symmetry_space_group_name_Hall '-P 4 2'
_cell_length_a 5.1966
_cell_length_b 5.1966
_cell_length_c 5.0334
_cell_angle_alpha 90.00
_cell_angle_beta 90.00
_cell_angle_gamma 90.00
loop_
_atom_site_label
_atom_site_type_symbol
_atom_site_fract_x
_atom_site_fract_y
_atom_site_fract_z
_atom_site_occupancy
Li1 Li 0.0000 0.0000 0.0000 1
Ca1 Ca 0.5000 0.5000 0.5000 1
Cu1 Cu 0.0000 0.5000 0.5000 1
Pd1 Pd 0.5000 0.5000 0.0000 1

# GGA-PBE MnAg2Br, relaxed
# VASP energy = -59.50 eV/cell
# ΔE to the lowest computed polymorph = 0.348 eV per atom
# Magnetization = 0.998 μB/atom
# D(E_F) = 4.78 states/eV/cell
data_MnAg2Br
_chemical_formula_sum 'Mn4 Ag8 Br4'
_symmetry_space_group_name_H-M 'F -4 3 m'
_symmetry_Int_Tables_number 216
_symmetry_space_group_name_Hall 'F -4 2 3'
_cell_length_a 6.8009
_cell_length_b 6.8009
_cell_length_c 6.8009
_cell_angle_alpha 90.00
_cell_angle_beta 90.00
_cell_angle_gamma 90.00
loop_
_atom_site_label
_atom_site_type_symbol
_atom_site_fract_x
_atom_site_fract_y
_atom_site_fract_z
_atom_site_occupancy
Mn1 Mn 0.0000 0.0000 0.0000 1
Ag1 Ag 0.0000 0.0000 0.5000 1
Ag2 Ag 0.2500 0.2500 0.7500 1
Br1 Br 0.2500 0.2500 0.2500 1

# GGA-PBE KMgHgF6, relaxed
# VASP energy = -139.26 eV/cell
# Magnetization = 0.115 μB/atom
# D(E_F) = 13.87 states/eV/cell
data_KMgHgF6
_chemical_formula_sum 'K4 Mg4 Hg4 F24'
_symmetry_space_group_name_H-M 'I m m a'
_symmetry_Int_Tables_number 74
_symmetry_space_group_name_Hall '-I 2b 2'
_cell_length_a 7.4736
_cell_length_b 7.9902
_cell_length_c 10.6207
_cell_angle_alpha 90.00
_cell_angle_beta 90.00
_cell_angle_gamma 90.00
loop_
_atom_site_label
_atom_site_type_symbol
_atom_site_fract_x
_atom_site_fract_y
_atom_site_fract_z
_atom_site_occupancy
K1 K 0.0000 0.2500 0.0529 1
Mg1 Mg 0.2500 0.2500 0.7500 1
Hg1 Hg 0.0000 0.0000 0.5000 1
F1 F 0.0000 0.2500 0.3999 1
F2 F 0.0000 0.2500 0.7876 1
F3 F 0.2324 0.0709 0.6153 1

Which formula does entry 3 have?
MnAg2Br